i | TaTi2AlH after structural relaxation, computed with GGA-PBE.

Lattice parameters (Å, degrees): 4.2044 4.2044 3.9063 90.00 90.00 90.00
With the nearest neighbours (Å) after each atom.
Element x y z (fractional)
Ti (0.5000, 0.0000, 0.0000)  2 H 2.10
H (0.0000, 0.0000, 0.0000)  2 Ta 1.95, 4 Ti 2.10
Al (0.5000, 0.5000, 0.5000)  8 Ti 2.87, 4 Ta 2.97
Ti (0.0000, 0.5000, 0.0000)  2 H 2.10
Ta (0.0000, 0.0000, 0.5000)  2 H 1.95

Computed properties:
* crystal system: tetragonal


ii | TaTi2AlH after structural relaxation, computed with GGA-PBE.

Lattice parameters (Å, degrees): 3.9040 3.9040 4.5319 90.00 90.00 90.00
With the nearest neighbours (Å) after each atom.
Element x y z (fractional)
Ti (0.5000, 0.0000, 0.0000)  2 H 1.95
Ti (0.0000, 0.5000, 0.0000)  2 H 1.95
H (0.0000, 0.0000, 0.0000)  4 Ti 1.95
Al (0.0000, 0.0000, 0.5000)  2 H 2.27
Ta (0.5000, 0.5000, 0.5000)  4 Al 2.76, 8 Ti 2.99

Computed properties:
* crystal system: tetragonal


Which one is most stable, and which one is least stable? i is the most stable of them, while ii is the least stable.


i | Tb2AlH after structural relaxation, computed with GGA-PBE.

Lattice parameters (Å, degrees): 3.5299 7.2746 6.6098 90.00 90.00 90.00
With the nearest neighbours (Å) after each atom.
Element x y z (fractional)
Al (0.0000, 0.9999, 0.2500)  8 Tb 3.10, 2 Al 3.30
H (0.5000, 0.5004, 0.2500)  4 Tb 2.37-2.38
Tb (0.5000, 0.2656, 0.4999)  2 H 2.37-2.38
Tb (0.5000, 0.2656, 0.0001)  2 H 2.37-2.38
Tb (0.5000, 0.7344, 0.5001)  2 H 2.37-2.38
H (0.5000, 0.4996, 0.7500)  4 Tb 2.37-2.38
Al (0.0000, 0.0001, 0.7500)  8 Tb 3.10, 2 Al 3.30
Tb (0.5000, 0.7344, 0.9999)  2 H 2.37-2.38

Computed properties:
* crystal system: orthorhombic


ii | Tb2AlH after structural relaxation, computed with GGA-PBE.

Lattice parameters (Å, degrees): 3.2871 3.2871 7.3422 90.00 90.00 90.00
With the nearest neighbours (Å) after each atom.
Element x y z (fractional)
Al (0.5000, 0.5000, 0.0000)  8 Tb 3.07, 4 Al 3.29
Tb (0.0000, 0.0000, 0.7273)  4 H 2.86, 4 Al 3.07
Tb (0.0000, 0.0000, 0.2727)  4 H 2.86, 4 Al 3.07
H (0.5000, 0.5000, 0.5000)  8 Tb 2.86

Computed properties:
* crystal system: tetragonal


Which one is most stable, and which one is least stable? i is the most stable of them, while ii is the least stable.


i | TbAlH after structural relaxation, computed with GGA-PBE.

Lattice parameters (Å, degrees): 3.1128 3.1128 5.9807 105.08 105.08 90.00
With the nearest neighbours (Å) after each atom.
Element x y z (fractional)
Al (0.0085, 0.0085, 0.0170)  1 H 2.88, 4 Al 3.11, 1 Tb 3.16
Tb (0.7242, 0.7242, 0.4483)  4 H 2.25
H (0.2673, 0.2673, 0.5346)  4 Tb 2.25

Computed properties:
* crystal system: tetragonal


ii | TbAlH after structural relaxation, computed with GGA-PBE.

Lattice parameters (Å, degrees): 3.8913 4.2610 11.9620 90.00 90.00 90.00
With the nearest neighbours (Å) after each atom.
Element x y z (fractional)
Al (0.7500, 0.2501, 0.8088)  2 Al 2.55
H (0.2500, 0.2501, 0.9903)  4 Tb 2.28-2.34
Al (0.2500, 0.7499, 0.1912)  2 Al 2.55
H (0.2500, 0.7501, 0.5097)  4 Tb 2.28-2.34
H (0.7500, 0.2499, 0.4903)  4 Tb 2.28-2.34
Al (0.2500, 0.2499, 0.3088)  2 Al 2.55
Al (0.7500, 0.7501, 0.6912)  2 Al 2.55
Tb (0.7500, 0.7499, 0.4097)  4 H 2.28-2.34
Tb (0.2500, 0.2501, 0.5903)  4 H 2.28-2.34
H (0.7500, 0.7499, 0.0097)  4 Tb 2.28-2.34
Tb (0.2500, 0.7501, 0.9097)  4 H 2.28-2.34
Tb (0.7500, 0.2499, 0.0903)  4 H 2.28-2.34

Computed properties:
* crystal system: orthorhombic


Which one is most stable, and which one is least stable? ii is the most stable of them, while i is the least stable.


i | AlTcH after structural relaxation, computed with GGA-PBE.

Lattice parameters (Å, degrees): 3.7925 3.1541 3.1543 120.00 90.00 90.00
With the nearest neighbours (Å) after each atom.
Element x y z (fractional)
Al (0.0000, 0.8624, 0.2247)  6 H 2.63, 6 Tc 2.63
H (0.5000, 0.5290, 0.5581)  3 Tc 1.82
Tc (0.5000, 0.1957, 0.8914)  3 H 1.82

Computed properties:
* crystal system: hexagonal


ii | AlTcH after structural relaxation, computed with GGA-PBE.

Lattice parameters (Å, degrees): 3.0172 4.3766 5.2513 90.00 107.40 90.00
With the nearest neighbours (Å) after each atom.
Element x y z (fractional)
Tc (0.0529, 0.2500, 0.1322)  2 H 1.81-1.83
Al (0.3296, 0.2500, 0.6712)  4 H 2.19-2.28
H (0.3376, 0.7500, 0.6658)  2 Tc 1.81-1.83
Tc (0.9471, 0.7500, 0.8678)  2 H 1.81-1.83
H (0.6624, 0.2500, 0.3342)  2 Tc 1.81-1.83
Al (0.6704, 0.7500, 0.3288)  4 H 2.19-2.28

Computed properties:
* crystal system: monoclinic


Which one is most stable, and which one is least stable? i is the most stable of them, while ii is the least stable.


i | Zr2AlTcH after structural relaxation, computed with GGA-PBE.

Lattice parameters (Å, degrees): 4.5396 4.5396 3.7273 90.00 90.00 90.00
With the nearest neighbours (Å) after each atom.
Element x y z (fractional)
H (0.0000, 0.0000, 0.0000)  2 Tc 1.86
Al (0.5000, 0.5000, 0.5000)  8 Zr 2.94, 4 Tc 3.21
Tc (0.0000, 0.0000, 0.5000)  2 H 1.86
Zr (0.0000, 0.5000, 0.0000)  2 H 2.27
Zr (0.5000, 0.0000, 0.0000)  2 H 2.27

Computed properties:
* crystal system: tetragonal


ii | Zr2AlTcH after structural relaxation, computed with GGA-PBE.

Lattice parameters (Å, degrees): 4.4936 4.4936 3.7528 90.00 90.00 90.00
With the nearest neighbours (Å) after each atom.
Element x y z (fractional)
Zr (0.0000, 0.5000, 0.0000)  2 H 2.25
Tc (0.5000, 0.5000, 0.5000)  8 Zr 2.93, 4 Al 3.18
H (0.0000, 0.0000, 0.0000)  2 Al 1.88
Zr (0.5000, 0.0000, 0.0000)  2 H 2.25
Al (0.0000, 0.0000, 0.5000)  2 H 1.88

Computed properties:
* crystal system: tetragonal


Which one is most stable, and which one is least stable? i is the most stable of them, while ii is the least stable.


i | Al2TeH after structural relaxation, computed with GGA-PBE.

Lattice parameters (Å, degrees): 4.7402 4.7402 7.8362 72.39 72.39 90.00
With the nearest neighbours (Å) after each atom.
Element x y z (fractional)
H (0.5000, 0.5000, 0.0000)  4 Al 2.19
Al (0.8750, 0.7343, 0.7500)  2 H 2.19
Te (0.0000, 0.0000, 0.0000)  4 Al 2.82
Al (0.4843, 0.1250, 0.2500)  2 H 2.19
Te (0.7500, 0.2500, 0.5000)  4 Al 2.82
H (0.2500, 0.7500, 0.5000)  4 Al 2.19
Al (0.3750, 0.5157, 0.7500)  2 H 2.19
Al (0.2657, 0.6250, 0.2500)  2 H 2.19

Computed properties:
* crystal system: tetragonal


ii | Al2TeH after structural relaxation, computed with GGA-PBE.

Lattice parameters (Å, degrees): 4.7516 4.7516 4.7516 60.00 60.00 60.00
With the nearest neighbours (Å) after each atom.
Element x y z (fractional)
Al (0.7500, 0.7500, 0.7500)  4 H 2.91, 4 Te 2.91
H (0.0000, 0.0000, 0.0000)  8 Al 2.91
Te (0.5000, 0.5000, 0.5000)  8 Al 2.91
Al (0.2500, 0.2500, 0.2500)  4 H 2.91, 4 Te 2.91

Computed properties:
* crystal system: cubic


Which one is most stable, and which one is least stable? i is the most stable of them, while ii is the least stable.